No. 1
Entry from Alexandria: CdRePdO2 at its PBEsol-relaxed geometry (meta-GGA SCAN).

Size of the total moment   0.0 μB per formula unit
Final energy   -149.2 eV per cell
Energy relative to the elements, uncorrected   -2.5 eV per formula unit
Calculated volume   83 Å³/cell

Unit cell a=3.732 b=3.732 c=5.924 alpha=90.00 beta=90.00 gamma=90.00
Fractional positions:
Cd (0.000, 0.000, 0.000)
Re (0.000, 0.000, 0.500)
Pd (0.500, 0.500, 0.000)
O (0.000, 0.500, 0.500)
O (0.500, 0.000, 0.500)

No. 2
Entry from Alexandria: CdPtO3 at its PBEsol-relaxed geometry (meta-GGA SCAN).

Size of the total moment   0.1 μB per formula unit
Final energy   -121.3 eV per cell
Energy relative to the elements, uncorrected   -2.0 eV per formula unit
Calculated volume   61 Å³/cell

Unit cell a=3.936 b=3.936 c=3.936 alpha=90.00 beta=90.00 gamma=90.00
Fractional positions:
Cd (0.000, 0.000, 0.000)
Pt (0.500, 0.500, 0.500)
O (0.000, 0.500, 0.500)
O (0.500, 0.000, 0.500)
O (0.500, 0.500, 0.000)

No. 3
Entry from Alexandria: Rb2CdO at its PBEsol-relaxed geometry (meta-GGA SCAN).

Size of the total moment   0.0 μB per formula unit
Final energy   -79.5 eV per cell
Energy relative to the elements, uncorrected   -1.4 eV per formula unit
Calculated volume   109 Å³/cell

Unit cell a=5.364 b=5.364 c=5.364 alpha=60.00 beta=60.00 gamma=60.00
Fractional positions:
Rb (0.250, 0.250, 0.250)
Rb (0.750, 0.750, 0.750)
Cd (0.000, 0.000, 0.000)
O (0.500, 0.500, 0.500)

No. 4
Entry from Alexandria: Rb2Cd2S3O12 at its PBEsol-relaxed geometry (meta-GGA SCAN).

Size of the total moment   0.0 μB per formula unit
Final energy   -961.1 eV per cell
Energy relative to the elements, uncorrected   -34.3 eV per formula unit
Calculated volume   1126 Å³/cell

Unit cell a=10.404 b=10.404 c=10.404 alpha=90.00 beta=90.00 gamma=90.00
Fractional positions:
Rb (0.062, 0.062, 0.062)
Rb (0.198, 0.698, 0.802)
Rb (0.302, 0.302, 0.302)
Rb (0.438, 0.938, 0.562)
Rb (0.562, 0.438, 0.938)
Rb (0.698, 0.802, 0.198)
Rb (0.802, 0.198, 0.698)
Rb (0.938, 0.562, 0.438)
Cd (0.081, 0.919, 0.419)
Cd (0.165, 0.335, 0.665)
Cd (0.335, 0.665, 0.165)
Cd (0.419, 0.081, 0.919)
Cd (0.581, 0.581, 0.581)
Cd (0.665, 0.165, 0.335)
Cd (0.835, 0.835, 0.835)
Cd (0.919, 0.419, 0.081)
S (0.023, 0.737, 0.126)
S (0.126, 0.023, 0.737)
S (0.237, 0.374, 0.977)
S (0.263, 0.626, 0.477)
S (0.374, 0.977, 0.237)
S (0.477, 0.263, 0.626)
S (0.523, 0.763, 0.874)
S (0.626, 0.477, 0.263)
S (0.737, 0.126, 0.023)
S (0.763, 0.874, 0.523)
S (0.874, 0.523, 0.763)
S (0.977, 0.237, 0.374)
O (0.000, 0.102, 0.336)
O (0.000, 0.602, 0.164)
O (0.002, 0.820, 0.240)
O (0.025, 0.932, 0.779)
O (0.068, 0.279, 0.475)
O (0.076, 0.157, 0.753)
O (0.102, 0.336, 0.000)
O (0.157, 0.753, 0.076)
O (0.164, 0.000, 0.602)
O (0.180, 0.740, 0.498)
O (0.221, 0.525, 0.568)
O (0.240, 0.002, 0.820)
O (0.247, 0.576, 0.343)
O (0.253, 0.424, 0.843)
O (0.260, 0.998, 0.320)
O (0.279, 0.475, 0.068)
O (0.320, 0.260, 0.998)
O (0.336, 0.000, 0.102)
O (0.343, 0.247, 0.576)
O (0.398, 0.664, 0.500)
O (0.424, 0.843, 0.253)
O (0.432, 0.721, 0.975)
O (0.475, 0.068, 0.279)
O (0.498, 0.180, 0.740)
O (0.500, 0.398, 0.664)
O (0.500, 0.898, 0.836)
O (0.502, 0.680, 0.760)
O (0.525, 0.568, 0.221)
O (0.568, 0.221, 0.525)
O (0.576, 0.343, 0.247)
O (0.602, 0.164, 0.000)
O (0.657, 0.747, 0.924)
O (0.664, 0.500, 0.398)
O (0.680, 0.760, 0.502)
O (0.721, 0.975, 0.432)
O (0.740, 0.498, 0.180)
O (0.747, 0.924, 0.657)
O (0.753, 0.076, 0.157)
O (0.760, 0.502, 0.680)
O (0.779, 0.025, 0.932)
O (0.820, 0.240, 0.002)
O (0.836, 0.500, 0.898)
O (0.843, 0.253, 0.424)
O (0.898, 0.836, 0.500)
O (0.924, 0.657, 0.747)
O (0.932, 0.779, 0.025)
O (0.975, 0.432, 0.721)
O (0.998, 0.320, 0.260)

No. 5
Entry from Alexandria: Rb2CdSiO4 at its PBEsol-relaxed geometry (meta-GGA SCAN).

Size of the total moment   0.0 μB per formula unit
Final energy   -996.1 eV per cell
Energy relative to the elements, uncorrected   -17.7 eV per formula unit
Calculated volume   1043 Å³/cell

Unit cell a=7.906 b=7.906 c=16.699 alpha=90.00 beta=90.00 gamma=92.57
Fractional positions:
Rb (0.050, 0.554, 0.267)
Rb (0.057, 0.057, 0.000)
Rb (0.238, 0.253, 0.609)
Rb (0.239, 0.742, 0.640)
Rb (0.253, 0.238, 0.391)
Rb (0.258, 0.761, 0.860)
Rb (0.446, 0.950, 0.233)
Rb (0.459, 0.459, 0.000)
Rb (0.541, 0.541, 0.500)
Rb (0.554, 0.050, 0.733)
Rb (0.742, 0.239, 0.360)
Rb (0.747, 0.762, 0.891)
Rb (0.761, 0.258, 0.140)
Rb (0.762, 0.747, 0.109)
Rb (0.943, 0.943, 0.500)
Rb (0.950, 0.446, 0.767)
Cd (0.224, 0.721, 0.094)
Cd (0.253, 0.279, 0.157)
Cd (0.279, 0.253, 0.843)
Cd (0.279, 0.776, 0.406)
Cd (0.721, 0.224, 0.906)
Cd (0.721, 0.747, 0.343)
Cd (0.747, 0.721, 0.657)
Cd (0.776, 0.279, 0.594)
Si (0.016, 0.489, 0.992)
Si (0.016, 0.984, 0.250)
Si (0.489, 0.016, 0.008)
Si (0.495, 0.505, 0.250)
Si (0.505, 0.495, 0.750)
Si (0.511, 0.984, 0.508)
Si (0.984, 0.016, 0.750)
Si (0.984, 0.511, 0.492)
O (0.036, 0.699, 0.991)
O (0.051, 0.191, 0.241)
O (0.083, 0.887, 0.169)
O (0.085, 0.434, 0.083)
O (0.113, 0.917, 0.331)
O (0.129, 0.407, 0.921)
O (0.187, 0.565, 0.483)
O (0.191, 0.051, 0.759)
O (0.299, 0.455, 0.744)
O (0.301, 0.964, 0.509)
O (0.394, 0.567, 0.169)
O (0.407, 0.129, 0.079)
O (0.433, 0.606, 0.331)
O (0.434, 0.085, 0.917)
O (0.435, 0.813, 0.017)
O (0.455, 0.299, 0.256)
O (0.545, 0.701, 0.756)
O (0.565, 0.187, 0.517)
O (0.566, 0.915, 0.417)
O (0.567, 0.394, 0.831)
O (0.593, 0.871, 0.579)
O (0.606, 0.433, 0.669)
O (0.699, 0.036, 0.009)
O (0.701, 0.545, 0.244)
O (0.809, 0.949, 0.259)
O (0.813, 0.435, 0.983)
O (0.871, 0.593, 0.421)
O (0.887, 0.083, 0.831)
O (0.915, 0.566, 0.583)
O (0.917, 0.113, 0.669)
O (0.949, 0.809, 0.741)
O (0.964, 0.301, 0.491)

No. 6
Entry from Alexandria: RbV3Cd3O11 at its PBEsol-relaxed geometry (meta-GGA SCAN).

Size of the total moment   0.0 μB per formula unit
Final energy   -1089.3 eV per cell
Energy relative to the elements, uncorrected   -39.3 eV per formula unit
Calculated volume   1020 Å³/cell

Unit cell a=8.395 b=9.761 c=12.593 alpha=90.00 beta=98.57 gamma=90.00
Fractional positions:
Rb (0.111, 0.247, 0.010)
Rb (0.111, 0.253, 0.510)
Rb (0.889, 0.747, 0.490)
Rb (0.889, 0.753, 0.990)
V (0.223, 0.566, 0.396)
V (0.223, 0.934, 0.896)
V (0.235, 0.568, 0.149)
V (0.235, 0.932, 0.649)
V (0.320, 0.175, 0.286)
V (0.320, 0.325, 0.786)
V (0.680, 0.675, 0.214)
V (0.680, 0.825, 0.714)
V (0.765, 0.068, 0.351)
V (0.765, 0.432, 0.851)
V (0.777, 0.066, 0.104)
V (0.777, 0.434, 0.604)
Cd (0.081, 0.626, 0.762)
Cd (0.081, 0.874, 0.262)
Cd (0.434, 0.606, 0.654)
Cd (0.434, 0.894, 0.154)
Cd (0.453, 0.646, 0.932)
Cd (0.453, 0.854, 0.432)
Cd (0.547, 0.146, 0.568)
Cd (0.547, 0.354, 0.068)
Cd (0.566, 0.106, 0.846)
Cd (0.566, 0.394, 0.346)
Cd (0.919, 0.126, 0.738)
Cd (0.919, 0.374, 0.238)
O (0.037, 0.501, 0.377)
O (0.037, 0.999, 0.877)
O (0.052, 0.002, 0.627)
O (0.052, 0.498, 0.127)
O (0.130, 0.229, 0.265)
O (0.130, 0.271, 0.765)
O (0.216, 0.742, 0.399)
O (0.216, 0.758, 0.899)
O (0.218, 0.742, 0.149)
O (0.218, 0.758, 0.649)
O (0.322, 0.508, 0.785)
O (0.322, 0.992, 0.285)
O (0.324, 0.515, 0.284)
O (0.324, 0.985, 0.784)
O (0.325, 0.501, 0.509)
O (0.325, 0.999, 0.009)
O (0.345, 0.510, 0.055)
O (0.345, 0.990, 0.555)
O (0.414, 0.233, 0.410)
O (0.414, 0.267, 0.910)
O (0.422, 0.239, 0.189)
O (0.422, 0.261, 0.689)
O (0.578, 0.739, 0.311)
O (0.578, 0.761, 0.811)
O (0.586, 0.733, 0.090)
O (0.586, 0.767, 0.590)
O (0.655, 0.010, 0.445)
O (0.655, 0.490, 0.945)
O (0.675, 0.001, 0.991)
O (0.675, 0.499, 0.491)
O (0.676, 0.015, 0.216)
O (0.676, 0.485, 0.716)
O (0.678, 0.008, 0.715)
O (0.678, 0.492, 0.215)
O (0.782, 0.242, 0.351)
O (0.782, 0.258, 0.851)
O (0.784, 0.242, 0.101)
O (0.784, 0.258, 0.601)
O (0.870, 0.729, 0.235)
O (0.870, 0.771, 0.735)
O (0.948, 0.502, 0.873)
O (0.948, 0.998, 0.373)
O (0.963, 0.001, 0.123)
O (0.963, 0.499, 0.623)